(1)
AgAsOs2, optimized geometry, DFT PBE; E = -6.857 eV/atom; size of the total moment = 0.000 μB per atom
1.0
-0.1931 -3.9725 0.1541
2.2017 -0.0314 1.9487
-2.3813 0.3093 4.9900
As Os Ag
1 2 1
Cartesian
-0.2313 -1.7779 5.2810
-0.3825 0.2747 6.6034
0.1131 0.1421 3.8046
-0.1414 -1.9168 1.8117

=====

(2)
CaMn2Tc, optimized geometry, DFT PBE; E = -7.036 eV/atom; size of the total moment = 1.574 μB per atom
1.0
-4.6834 -2.6699 -3.8189
4.3456 1.2898 -1.6604
0.4560 -2.7557 -0.9206
Ca Mn Tc
1 2 1
Cartesian
-0.1689 -0.6901 -2.7397
0.0000 0.0000 0.0000
-2.1137 -2.7128 -2.3697
2.4008 -0.7329 -1.2905